Record 1
Dy4ScGa5 | PBE | relaxed

Cell: 3.5135 3.5135 17.8005 Å, 90.00 90.00 90.00°
Last column: nearest neighbours and their distance in Å.
Fractional coordinates of all 10 atoms:
1 Dy 0.0000 0.0000 0.1913  8 Ga 3.08-3.10, 1 Sc 3.40
2 Dy 0.0000 0.0000 0.6032  8 Ga 3.09
3 Dy 0.0000 0.0000 0.3968  8 Ga 3.09
4 Dy 0.0000 0.0000 0.8087  8 Ga 3.08-3.10, 1 Sc 3.40
5 Ga 0.5000 0.5000 0.9133  4 Sc 2.92, 1 Ga 3.09, 4 Dy 3.10
6 Ga 0.5000 0.5000 0.2936  8 Dy 3.08-3.09
7 Ga 0.5000 0.5000 0.7064  8 Dy 3.08-3.09
8 Ga 0.5000 0.5000 0.5000  8 Dy 3.09
9 Ga 0.5000 0.5000 0.0867  4 Sc 2.92, 1 Ga 3.09, 4 Dy 3.10
10 Sc 0.0000 0.0000 0.0000  8 Ga 2.92

Properties
Magnetization (μB/cell): 0.00
Formation energy (meV/atom): -584
Energy (eV for the cell shown): -45.72



Record 2
Hf5NbGa3 | PBE | relaxed

Cell: 6.2667 6.2667 10.1606 Å, 84.40 84.40 80.70°
Last column: nearest neighbours and their distance in Å.
Fractional coordinates of all 18 atoms:
1 Ga 0.7474 0.7474 0.8763  6 Hf 2.76-3.03, 1 Ga 2.86, 1 Nb 2.95
2 Ga 0.2526 0.2526 0.1237  6 Hf 2.76-3.03, 1 Ga 2.86, 1 Nb 2.95
3 Ga 0.7190 0.7190 0.4503  6 Hf 2.68-2.90, 1 Ga 2.79, 1 Nb 2.83
4 Ga 0.0000 0.0000 0.5000  2 Nb 2.55, 4 Hf 2.77, 2 Ga 2.79
5 Ga 0.0000 0.0000 0.0000  2 Nb 2.59, 4 Hf 2.63-2.86, 2 Ga 2.86
6 Ga 0.2810 0.2810 0.5497  6 Hf 2.68-2.90, 1 Ga 2.79, 1 Nb 2.83
7 Hf 0.2754 0.2754 0.8502  1 Nb 2.62, 2 Ga 2.76-2.86, 1 Hf 2.82
8 Hf 0.0116 0.6097 0.6553  4 Ga 2.68-2.87, 1 Nb 2.96
9 Hf 0.3237 0.6763 0.0000  3 Ga 2.63-2.91, 1 Hf 2.86
10 Hf 0.6097 0.0116 0.6553  4 Ga 2.68-2.87, 1 Nb 2.96
11 Hf 0.7246 0.7246 0.1498  1 Nb 2.62, 2 Ga 2.76-2.86, 1 Hf 2.82
12 Hf 0.5334 0.5334 0.6802  3 Ga 2.75-3.03, 1 Hf 2.82
13 Hf 0.9884 0.3903 0.3447  4 Ga 2.68-2.87, 1 Nb 2.96
14 Hf 0.4666 0.4666 0.3198  3 Ga 2.75-3.03, 1 Hf 2.82
15 Hf 0.3903 0.9884 0.3447  4 Ga 2.68-2.87, 1 Nb 2.96
16 Hf 0.6763 0.3237 0.0000  3 Ga 2.63-2.91, 1 Hf 2.86
17 Nb 0.9597 0.9597 0.2571  3 Ga 2.55-2.83, 1 Hf 2.62
18 Nb 0.0403 0.0403 0.7429  3 Ga 2.55-2.83, 1 Hf 2.62

Properties
Magnetization (μB/cell): 0.00
Formation energy (meV/atom): 142
Energy (eV for the cell shown): -135.28